First-principles (PBE with a Hubbard U) data for a geometry-optimized CaVO3 structure, as listed in Alexandria.

a b c (Å): 5.085 6.027 7.559
angles (deg): 96.69 90.00 90.00
Fractional coordinates of all 20 atoms:
1 O 0.587 0.808 0.442
2 V 0.275 0.923 0.050
3 O 0.069 0.931 0.319
4 O 0.087 0.192 0.058
5 Ca 0.775 0.627 0.172
6 O 0.913 0.808 0.942
7 Ca 0.225 0.373 0.828
8 O 0.431 0.931 0.819
9 O 0.825 0.364 0.403
10 O 0.325 0.636 0.097
11 O 0.413 0.192 0.558
12 V 0.725 0.077 0.950
13 Ca 0.275 0.373 0.328
14 V 0.225 0.923 0.550
15 O 0.569 0.069 0.181
16 V 0.775 0.077 0.450
17 O 0.931 0.069 0.681
18 Ca 0.725 0.627 0.672
19 O 0.175 0.636 0.597
20 O 0.675 0.364 0.903

Calculated volume = 230 Å³/cell
Space group = P2_1/c
Crystal system = monoclinic
E = -144.137 eV for the cell shown